Record 1
SiC5: relaxed, PBE-GGA.

Output
Energy above the lowest structure with this stoichiometry (eV per atom): 0.200
Mass density (g cm⁻³): 2.58
Total energy (eV/atom): -7.484
E_form (uncorrected) (eV per atom): 1.106

Cell lengths 5.9921, 5.9921, 2.5576 Å; angles 90.00, 90.00, 141.91 degrees
Closest atoms and distances in Å follow each position.
Element x y z (fractional)
1 Si 0.2137 0.7863 0.5000  3 C 1.87
2 C 0.6404 0.3596 0.5000  2 C 1.51
3 C 0.5690 0.4310 0.0000  3 C 1.49-1.51
4 C 0.4377 0.5623 0.0000  3 C 1.44-1.49
5 C 0.0935 0.9065 0.0000  2 Si 1.87, 2 C 1.97
6 C 0.3790 0.6210 0.5000  2 C 1.44



Record 2
SiC: relaxed, PBE-GGA.

Output
Energy above the lowest structure with this stoichiometry (eV per atom): 0.245
Mass density (g cm⁻³): 2.71
Total energy (eV/atom): -7.285
E_form (uncorrected) (eV per atom): 0.038

Cell lengths 7.9341, 7.9341, 3.1264 Å; angles 90.00, 90.00, 90.00 degrees
Closest atoms and distances in Å follow each position.
Element x y z (fractional)
1 C 0.7826 0.6081 0.0000  4 Si 1.85-1.92
2 C 0.6081 0.2174 0.0000  4 Si 1.85-1.92
3 Si 0.1246 0.2917 0.5000  4 C 1.85-1.92
4 C 0.2174 0.3919 0.0000  4 Si 1.85-1.92
5 C 0.7174 0.8919 0.5000  4 Si 1.85-1.92
6 C 0.1081 0.7174 0.5000  4 Si 1.85-1.92
7 Si 0.2083 0.6246 0.0000  4 C 1.85-1.92
8 Si 0.7917 0.3754 0.0000  4 C 1.85-1.92
9 C 0.3919 0.7826 0.0000  4 Si 1.85-1.92
10 Si 0.2917 0.8754 0.5000  4 C 1.85-1.92
11 C 0.8919 0.2826 0.5000  4 Si 1.85-1.92
12 Si 0.7083 0.1246 0.5000  4 C 1.85-1.92
13 Si 0.8754 0.7083 0.5000  4 C 1.85-1.92
14 Si 0.3754 0.2083 0.0000  4 C 1.85-1.92
15 C 0.2826 0.1081 0.5000  4 Si 1.85-1.92
16 Si 0.6246 0.7917 0.0000  4 C 1.85-1.92



Record 3
Si3C4: relaxed, PBE-GGA.

Output
Energy above the lowest structure with this stoichiometry (eV per atom): 0.284
Mass density (g cm⁻³): 3.51
Total energy (eV/atom): -6.578
E_form (uncorrected) (eV per atom): 1.017

Cell lengths 3.9694, 3.9694, 3.9694 Å; angles 90.00, 90.00, 90.00 degrees
Closest atoms and distances in Å follow each position.
Element x y z (fractional)
1 Si 0.0000 0.5000 0.0000  6 C 1.98
2 C 0.0000 0.5000 0.5000  4 Si 1.98
3 C 0.5000 0.5000 0.0000  4 Si 1.98
4 C 0.5000 0.0000 0.5000  4 Si 1.98
5 Si 0.5000 0.0000 0.0000  6 C 1.98
6 Si 0.0000 0.0000 0.5000  6 C 1.98
7 C 0.0000 0.0000 0.0000  6 Si 1.98



Record 4
SiC5: relaxed, PBE-GGA.

Output
Energy above the lowest structure with this stoichiometry (eV per atom): 1.741
Mass density (g cm⁻³): 2.35
Total energy (eV/atom): -5.943
E_form (uncorrected) (eV per atom): 2.647

Cell lengths 3.4237, 3.4237, 5.3102 Å; angles 90.00, 90.00, 90.00 degrees
Closest atoms and distances in Å follow each position.
Element x y z (fractional)
1 C 0.5000 0.5000 0.6204  1 C 1.28
2 C 0.0000 0.0000 0.8783  1 C 1.29
3 C 0.0000 0.0000 0.1217  1 C 1.29
4 Si 0.5000 0.5000 0.0000  2 C 2.02
5 C 0.0000 0.0000 0.5000  2 C 2.01
6 C 0.5000 0.5000 0.3796  1 C 1.28



Record 5
SiC2: relaxed, PBE-GGA.

Output
Energy above the lowest structure with this stoichiometry (eV per atom): 1.394
Mass density (g cm⁻³): 3.55
Total energy (eV/atom): -6.231
E_form (uncorrected) (eV per atom): 1.726

Cell lengths 6.6395, 6.6395, 2.9083 Å; angles 90.00, 90.00, 157.65 degrees
Closest atoms and distances in Å follow each position.
Element x y z (fractional)
1 C 0.0000 0.0000 0.0000  4 C 1.94, 4 Si 2.01
2 Si 0.6188 0.3812 0.0000  4 C 2.01-2.12
3 C 0.5000 0.5000 0.5000  4 C 1.94, 4 Si 2.12
4 Si 0.3812 0.6188 0.0000  4 C 2.01-2.12
5 C 0.7830 0.2170 0.5000  2 C 1.55
6 C 0.2170 0.7830 0.5000  2 C 1.55



Record 6
Si2C: relaxed, PBE-GGA.

Output
Energy above the lowest structure with this stoichiometry (eV per atom): 0.160
Mass density (g cm⁻³): 3.05
Total energy (eV/atom): -6.182
E_form (uncorrected) (eV per atom): 0.508

Cell lengths 4.7679, 4.7679, 7.0083 Å; angles 56.64, 56.64, 34.78 degrees
Closest atoms and distances in Å follow each position.
Element x y z (fractional)
1 Si 0.3161 0.3161 0.3109  2 C 1.99
2 C 0.7522 0.7522 0.1731  5 Si 1.94-2.00
3 C 0.2478 0.2478 0.8269  5 Si 1.94-2.00
4 Si 0.1011 0.1011 0.1649  3 C 1.94-2.00
5 Si 0.6839 0.6839 0.6891  2 C 1.99
6 Si 0.8989 0.8989 0.8351  3 C 1.94-2.00